Computed, not measured: an optimized crystal structure of Tb3Y5Sc at the GGA-PBE level of DFT.

```
data_Tb3Y5Sc
_cell_length_a 8.603
_cell_length_b 8.603
_cell_length_c 15.379
_cell_angle_alpha 90.00
_cell_angle_beta 90.00
_cell_angle_gamma 90.00
_symmetry_space_group_name_H-M 'I 4/m c m'
_symmetry_Int_Tables_number 140
_symmetry_space_group_name_Hall '-I 4 2c'
loop_
_atom_site_label
_atom_site_type_symbol
_atom_site_fract_x
_atom_site_fract_y
_atom_site_fract_z
Tb1 Tb 0.000 0.000 0.250
Tb2 Tb 0.118 0.382 0.000
Y1 Y 0.000 0.000 0.000
Y2 Y 0.204 0.296 0.360
Sc1 Sc 0.000 0.500 0.250
```

Summary:
energy relative to the elements = 0.285 eV/atom
raw total energy = -199.9 eV/cell
N(E_F) = 51.560 states/eV per cell